(1)
Pr2Dy2CBr5 | PBE | relaxed

Lattice parameters (Å, degrees): 9.2599 9.2599 8.5030 102.50 102.50 24.49
Fractional positions:
Br: 0.8252 0.8252 0.1513
Br: 0.1686 0.1686 0.3227
Br: 0.5000 0.5000 0.5000
Br: 0.8314 0.8314 0.6773
Br: 0.1748 0.1748 0.8487
C: 0.5000 0.5000 0.0000
Dy: 0.6368 0.6368 0.0707
Dy: 0.3632 0.3632 0.9293
Pr: 0.9984 0.9984 0.2063
Pr: 0.0016 0.0016 0.7937

Summary:
As for the space group: C2/m, No. 12. Its total energy is -5.064 eV per atom.

***

(2)
Pr2Dy2CBr5 | PBE | relaxed

Lattice parameters (Å, degrees): 9.2441 9.2441 8.2224 103.40 103.40 24.07
Fractional positions:
Br: 0.8348 0.8348 0.1913
Br: 0.1599 0.1599 0.3580
Br: 0.5000 0.5000 0.5000
Br: 0.8401 0.8401 0.6420
Br: 0.1652 0.1652 0.8087
C: 0.5000 0.5000 0.0000
Dy: 0.9996 0.9996 0.2008
Dy: 0.0004 0.0004 0.7992
Pr: 0.6447 0.6447 0.0771
Pr: 0.3553 0.3553 0.9229

Summary:
As for the space group: C2/m, No. 12. Its total energy is -5.059 eV per atom.